# 1
First-principles (PBEsol) data for a relaxed structure of Zr2TaMn, as listed in Alexandria via LeMat-Bulk.

Summary:
Theoretical density: 9701 kg/m3
E: -39.34 eV/cell

Structure (CIF):
```
data_Zr2TaMn
_cell_length_a 3.081
_cell_length_b 3.081
_cell_length_c 8.889
_cell_angle_alpha 80.02
_cell_angle_beta 80.02
_cell_angle_gamma 60.00
_space_group_name_H-M_alt 'P 1'
_space_group_IT_number 1
loop_
_space_group_symop_operation_xyz
'x,y,z'
loop_
_atom_site_label
_atom_site_fract_x
_atom_site_fract_y
_atom_site_fract_z
Zr1 0.239 0.239 0.282
Zr2 0.761 0.761 0.718
Ta1 0.000 0.000 0.000
Mn1 0.500 0.500 0.500
```

# 2
First-principles (PBEsol) data for a relaxed structure of NaI3O8, as listed in Alexandria via LeMat-Bulk.

Summary:
Theoretical density: 4845 kg/m3
Uncorrected formation energy: -0.585 eV per atom

Structure (CIF):
```
data_NaI3O8
_cell_length_a 5.704
_cell_length_b 7.994
_cell_length_c 7.994
_cell_angle_alpha 90.00
_cell_angle_beta 90.00
_cell_angle_gamma 90.00
_space_group_name_H-M_alt 'P 1'
_space_group_IT_number 1
loop_
_space_group_symop_operation_xyz
'x,y,z'
loop_
_atom_site_label
_atom_site_fract_x
_atom_site_fract_y
_atom_site_fract_z
I1 0.895 0.750 0.271
I2 0.105 0.729 0.750
I3 0.105 0.271 0.250
I4 0.598 0.500 0.000
I5 0.895 0.250 0.729
I6 0.402 0.000 0.500
O1 0.638 0.589 0.237
O2 0.289 0.240 0.066
O3 0.803 0.672 0.949
O4 0.849 0.725 0.494
O5 0.803 0.328 0.051
O6 0.362 0.763 0.589
O7 0.151 0.494 0.275
O8 0.289 0.760 0.934
O9 0.197 0.949 0.328
O10 0.151 0.506 0.725
O11 0.849 0.275 0.506
O12 0.197 0.051 0.672
O13 0.711 0.066 0.760
O14 0.362 0.237 0.411
O15 0.638 0.411 0.763
O16 0.711 0.934 0.240
Na1 0.500 0.000 0.000
Na2 0.500 0.500 0.500
```

# 3
First-principles (PBEsol) data for a relaxed structure of BaSc3Sb, as listed in Alexandria via LeMat-Bulk.

Summary:
Theoretical density: 4663 kg/m3
Uncorrected formation energy: 1.022 eV per atom

Structure (CIF):
```
data_BaSc3Sb
_cell_length_a 5.196
_cell_length_b 5.196
_cell_length_c 5.196
_cell_angle_alpha 90.00
_cell_angle_beta 90.00
_cell_angle_gamma 90.00
_space_group_name_H-M_alt 'P 1'
_space_group_IT_number 1
loop_
_space_group_symop_operation_xyz
'x,y,z'
loop_
_atom_site_label
_atom_site_fract_x
_atom_site_fract_y
_atom_site_fract_z
Ba1 0.000 0.000 0.000
Sc1 0.000 0.000 0.500
Sc2 0.500 0.000 0.000
Sc3 0.000 0.500 0.000
Sb1 0.500 0.500 0.500
```

# 4
First-principles (PBEsol) data for a relaxed structure of TaInNi2, as listed in Alexandria via LeMat-Bulk.

Summary:
Theoretical density: 11415 kg/m3
E: -27.80 eV/cell

Structure (CIF):
```
data_TaInNi2
_cell_length_a 2.799
_cell_length_b 4.394
_cell_length_c 5.218
_cell_angle_alpha 98.42
_cell_angle_beta 90.00
_cell_angle_gamma 108.57
_space_group_name_H-M_alt 'P 1'
_space_group_IT_number 1
loop_
_space_group_symop_operation_xyz
'x,y,z'
loop_
_atom_site_label
_atom_site_fract_x
_atom_site_fract_y
_atom_site_fract_z
Ni1 0.750 0.499 0.711
Ni2 0.250 0.501 0.289
Ta1 0.000 0.000 0.500
In1 0.500 0.000 0.000
```